Entry from Alexandria via LeMat-Bulk: an optimized crystal structure of MnIn2F (GGA+U).

Summary:
Total moment: 4.7 μB per formula unit
Energy above the most stable polymorph in this dataset: 0 meV per atom
Calculated total energy: -4.106 eV/atom
Volume: 175.9 Å³/cell
Space group: I-42d (122)

Cell: 7.6719 7.6719 6.1933 Å, 51.73 51.73 90.00°
Last column: magnetic moment on the atom in μB.
Positions (direct):
Mn1 0.0000 0.0000 0.0000  4.60
Mn2 0.7500 0.2500 0.5000  4.60
F1 0.5000 0.5000 0.0000  0.01
F2 0.2500 0.7500 0.5000  0.01
In1 0.8750 0.8168 0.7500  -0.03
In2 0.5668 0.1250 0.2500  -0.03
In3 0.1832 0.6250 0.2500  -0.03
In4 0.3750 0.4332 0.7500  -0.02